No. 1
{
  "formula": "LaMg6Ga",
  "functional": "PBE",
  "state": "relaxed",
  "magnetic_moment_mub_per_atom": 0.000,
  "n_ef_per_ev_cell": 3.55,
  "polymorph_energy_mev_per_atom": 0,
  "ef_ev_per_atom": -0.08,
  "volume_a3_per_atom": 24.86,
  "lattice_angstrom": [[4.8535, 0.0000, 0.0000], [0.0000, 3.0232, 6.7773], [0.0000, -3.0232, 6.7773]],
  "species": ["La", "Mg", "Mg", "Mg", "Mg", "Mg", "Mg", "Ga"],
  "fractional_positions": [[0.0000, 0.0000, 0.0000], [0.0000, 0.4965, 0.9814], [0.0000, 0.9814, 0.4965], [0.5000, 0.1242, 0.6245], [0.5000, 0.1669, 0.1669], [0.5000, 0.5878, 0.5878], [0.5000, 0.6245, 0.1242], [0.0000, 0.4272, 0.4272]]
}

***

No. 2
{
  "formula": "Na10B17C3",
  "functional": "PBE",
  "state": "relaxed",
  "magnetic_moment_mub_per_atom": 0.000,
  "n_ef_per_ev_cell": 5.85,
  "polymorph_energy_mev_per_atom": 4,
  "ef_ev_per_atom": 0.21,
  "volume_a3_per_atom": 10.93,
  "lattice_angstrom": [[9.0919, -1.4119, 0.0000], [9.0919, 1.4119, 0.0000], [-5.1816, 0.0000, 12.7698]],
  "species": ["Na", "Na", "Na", "Na", "Na", "Na", "Na", "Na", "Na", "Na", "B", "B", "B", "B", "B", "B", "B", "B", "B", "B", "B", "B", "B", "B", "B", "B", "B", "C", "C", "C"],
  "fractional_positions": [[0.0000, 0.0000, 0.0000], [0.9999, 0.9999, 0.4946], [0.2002, 0.2002, 0.3936], [0.2020, 0.2020, 0.8998], [0.3990, 0.3990, 0.2950], [0.4011, 0.4011, 0.8002], [0.6010, 0.6010, 0.1956], [0.6008, 0.6008, 0.6982], [0.8002, 0.8002, 0.0972], [0.8002, 0.8002, 0.5952], [0.0273, 0.0273, 0.2978], [0.0361, 0.0361, 0.8193], [0.1671, 0.1671, 0.0819], [0.1691, 0.1691, 0.5839], [0.2311, 0.2311, 0.7089], [0.3673, 0.3673, 0.4787], [0.3720, 0.3720, 0.9927], [0.4307, 0.4307, 0.6069], [0.4381, 0.4381, 0.1225], [0.5668, 0.5668, 0.3767], [0.5774, 0.5774, 0.9030], [0.6286, 0.6286, 0.5014], [0.7596, 0.7596, 0.2638], [0.7706, 0.7706, 0.7888], [0.8268, 0.8268, 0.3976], [0.8339, 0.8339, 0.9168], [0.9736, 0.9736, 0.6938], [0.2288, 0.2288, 0.2030], [0.6358, 0.6358, 0.0202], [0.9684, 0.9684, 0.1812]]
}